Record 1
Compound: Er2LuTl
Source: the Alexandria database
Functional: PBE-GGA
Structure: optimized geometry

Cell: 3.555 3.555 9.110 Å, 90.00 90.00 90.00°
Space group P4/mmm (No. 123)
Unique sites:
Er 0.000 0.000 0.235 x2
Lu 0.500 0.500 0.500 x1
Tl 0.500 0.500 0.000 x1

DOS(E_F)   4.47 states/eV/cell
Polymorph energy (0 for the lowest one)   2.0 meV/atom
Theoretical density   10.3 Mg/m³
Formation enthalpy at 0 K   -0.157 eV/atom
Total energy   -4.160 eV per atom



Record 2
Compound: CeCdInGe
Source: the Alexandria database
Functional: PBE-GGA
Structure: optimized geometry

Cell: 4.378 4.388 4.951 Å, 90.00 90.00 90.00°
Space group Pmmm (No. 47)
Unique sites:
Ce 0.000 0.000 0.000 x1
Cd 0.000 0.500 0.500 x1
In 0.500 0.000 0.500 x1
Ge 0.500 0.500 0.000 x1

DOS(E_F)   5.09 states/eV/cell
Theoretical density   7.7 Mg/m³
Formation enthalpy at 0 K   -0.403 eV/atom
Total energy   -3.954 eV per atom



Record 3
Compound: Mg2CuH2
Source: the Alexandria database
Functional: PBE-GGA
Structure: optimized geometry

Cell: 6.280 6.280 2.900 Å, 90.00 90.00 90.00°
Space group P4/mbm (No. 127)
Unique sites:
Mg 0.181 0.319 0.000 x4
Cu 0.000 0.000 0.500 x2
H 0.132 0.632 0.500 x4

DOS(E_F)   4.05 states/eV/cell
Polymorph energy (0 for the lowest one)   201.9 meV/atom
Theoretical density   3.3 Mg/m³
Total energy   -2.608 eV per atom



Record 4
Compound: NpB2Se6
Source: the Alexandria database
Functional: PBE-GGA
Structure: optimized geometry

Cell: 11.860 10.840 6.237 Å, 90.00 106.66 90.00°
Space group C2/c (No. 15)
Unique sites:
Np 0.000 0.177 0.250 x4
B 0.201 0.445 0.205 x8
Se 0.120 0.043 0.665 x8
Se 0.138 0.407 0.476 x8
Se 0.151 0.294 0.993 x8

DOS(E_F)   32.85 states/eV/cell
Theoretical density   6.3 Mg/m³
Total energy   -5.488 eV per atom
Raw formation energy   -0.24 eV per atom



Record 5
Compound: ScWCl2
Source: the Alexandria database
Functional: PBE-GGA
Structure: optimized geometry

Cell: 3.032 3.032 9.056 Å, 90.00 90.00 90.00°
Space group P4mm (No. 99)
Unique sites:
Sc 0.000 0.000 0.000 x1
W 0.500 0.500 0.236 x1
Cl 0.000 0.000 0.415 x1
Cl 0.500 0.500 0.819 x1

DOS(E_F)   2.80 states/eV/cell
Polymorph energy (0 for the lowest one)   0.0 meV/atom
Theoretical density   6.0 Mg/m³
Total energy   -6.213 eV per atom
Raw formation energy   -0.47 eV per atom



Record 6
Compound: Pm2AgBiO5
Source: the Alexandria database
Functional: PBE-GGA
Structure: optimized geometry

Cell: 6.766 6.766 6.494 Å, 90.00 90.00 90.00°
Space group P4/mbm (No. 127)
Unique sites:
Pm 0.175 0.325 0.000 x4
Ag 0.000 0.000 0.500 x2
Bi 0.000 0.500 0.500 x2
O 0.000 0.000 0.000 x2
O 0.146 0.646 0.230 x8

DOS(E_F)   1.00 states/eV/cell
Theoretical density   7.7 Mg/m³
Total energy   -6.445 eV per atom
Raw formation energy   -1.89 eV per atom



Record 7
Compound: ReP2SI
Source: the Alexandria database
Functional: PBE-GGA
Structure: optimized geometry

Cell: 4.775 4.775 4.565 Å, 90.00 90.00 90.00°
Space group P4/mmm (No. 123)
Unique sites:
Re 0.000 0.000 0.000 x1
P 0.000 0.500 0.000 x2
S 0.000 0.000 0.500 x1
I 0.500 0.500 0.500 x1

DOS(E_F)   5.02 states/eV/cell
Polymorph energy (0 for the lowest one)   0.0 meV/atom
Theoretical density   6.5 Mg/m³
Total energy   -5.319 eV per atom
Raw formation energy   0.47 eV per atom



Record 8
Compound: Ba2NiSn4Pt3
Source: the Alexandria database
Functional: PBE-GGA
Structure: optimized geometry

Cell: 4.762 4.762 10.816 Å, 90.00 90.00 90.00°
Space group P-4m2 (No. 115)
Unique sites:
Ba 0.000 0.500 0.244 x2
Ni 0.500 0.500 0.000 x1
Sn 0.000 0.000 0.500 x1
Sn 0.000 0.500 0.885 x2
Sn 0.500 0.500 0.500 x1
Pt 0.000 0.000 0.000 x1
Pt 0.000 0.500 0.629 x2

DOS(E_F)   5.05 states/eV/cell
Theoretical density   9.4 Mg/m³
Formation enthalpy at 0 K   -0.695 eV/atom
Total energy   -5.071 eV per atom